(1)
A plane-wave DFT calculation with PBE was carried out for an optimized crystal structure of NiHg2Mo.

The structure belongs to space group C2/m (No. 12); the cell edges are 9.5020, 2.8827 and 5.2550 Å and the angles 90.00°, 103.52° and 90.00°. The inequivalent atoms are Ni at (0.0000, 0.0000, 0.0000), Hg at (0.2386, 0.5000, 0.2400) and Mo at (0.0000, 0.5000, 0.5000).

As for the formation energy: 13.94 kcal/mol of atoms. Its density of states at the Fermi level is 7.2 states/eV/cell.

=====

(2)
A plane-wave DFT calculation with PBE was carried out for an optimized crystal structure of LiYZr.

The structure belongs to space group C2/m (No. 12); the cell edges are 11.3283, 3.3350 and 8.7996 Å and the angles 90.00°, 118.34° and 90.00°. The inequivalent atoms are Li at (0.1409, 0.0000, 0.1641), Y at (0.0805, 0.5000, 0.8145) and Zr at (0.1491, 0.0000, 0.5376).

As for the formation energy: 3.67 kcal/mol of atoms. Its density of states at the Fermi level is 14.3 states/eV/cell.

=====

(3)
A plane-wave DFT calculation with PBE was carried out for an optimized crystal structure of Al3Sb.

The structure belongs to space group Pnma (No. 62); the cell edges are 7.8248, 6.9446 and 6.1146 Å and the angles 90.00°, 90.00° and 90.00°. The inequivalent atoms are Al at (0.0502, 0.2500, 0.0707), Al at (0.2415, 0.5396, 0.8388) and Sb at (0.0097, 0.2500, 0.6161).

Its density of states at the Fermi level is 6.2 states/eV/cell. For the raw formation energy, the calculation gives 0.126 eV/atom.

=====

(4)
A plane-wave DFT calculation with PBE was carried out for an optimized crystal structure of NdHoTm2Bi4.

The structure belongs to space group P2/m (No. 10); the cell edges are 7.7654, 4.4908 and 7.7694 Å and the angles 90.00°, 109.50° and 90.00°. The inequivalent atoms are Nd at (0.0000, 0.0000, 0.0000), Ho at (0.0000, 0.5000, 0.5000), Tm at (0.5000, 0.0000, 0.5000), Tm at (0.5000, 0.5000, 0.0000), Bi at (0.2556, 0.0000, 0.7474) and Bi at (0.2587, 0.5000, 0.2575).

As for the formation energy: -19.18 kcal/mol of atoms. Its density of states at the Fermi level is 1.2 states/eV/cell.

=====

(5)
A plane-wave DFT calculation with PBE was carried out for an optimized crystal structure of Ba3Sr2PrTe6.

The structure belongs to space group C2/m (No. 12); the cell edges are 21.0813, 4.8077 and 9.6993 Å and the angles 90.00°, 103.62° and 90.00°. The inequivalent atoms are Ba at (0.0000, 0.0000, 0.0000), Ba at (0.1677, 0.5000, 0.3327), Sr at (0.1663, 0.5000, 0.8336), Pr at (0.0000, 0.0000, 0.5000), Te at (0.0023, 0.5000, 0.7329), Te at (0.1594, 0.0000, 0.5884) and Te at (0.1697, 0.0000, 0.0752).

Its density of states at the Fermi level is 6.0 states/eV/cell. For the raw formation energy, the calculation gives -1.696 eV/atom.

=====

(6)
A plane-wave DFT calculation with PBE was carried out for an optimized crystal structure of Ba6GaHg5.

The structure belongs to space group Immm (No. 71); the cell edges are 5.9277, 8.3930 and 17.7967 Å and the angles 90.00°, 90.00° and 90.00°. The inequivalent atoms are Ba at (0.0000, 0.2454, 0.0000), Ba at (0.0000, 0.2522, 0.3349), Ga at (0.0000, 0.5000, 0.5000), Hg at (0.0000, 0.0000, 0.1665), Hg at (0.0000, 0.0000, 0.5000) and Hg at (0.0000, 0.5000, 0.1660).

As for the formation energy: -11.37 kcal/mol of atoms. Its density of states at the Fermi level is 15.8 states/eV/cell.

=====

(7)
A plane-wave DFT calculation with PBE was carried out for an optimized crystal structure of LiScMn2.

The structure belongs to space group Pmmm (No. 47); the cell edges are 3.1706, 4.3030 and 4.4828 Å and the angles 90.00°, 90.00° and 90.00°. The inequivalent atoms are Li at (0.0000, 0.0000, 0.0000), Sc at (0.5000, 0.5000, 0.0000), Mn at (0.0000, 0.5000, 0.5000) and Mn at (0.5000, 0.0000, 0.5000).

As for the formation energy: 5.91 kcal/mol of atoms. Its density of states at the Fermi level is 3.7 states/eV/cell.

=====

(8)
A plane-wave DFT calculation with PBE was carried out for an optimized crystal structure of LiLaDySe3.

The structure belongs to space group P2_1/m (No. 11); the cell edges are 8.5146, 4.0650 and 8.9360 Å and the angles 90.00°, 103.61° and 90.00°. The inequivalent atoms are Li at (0.0875, 0.2500, 0.0855), La at (0.1886, 0.2500, 0.7269), Dy at (0.3334, 0.7500, 0.3408), Se at (0.0983, 0.2500, 0.3678), Se at (0.2198, 0.7500, 0.0041) and Se at (0.4354, 0.7500, 0.6747).

Its density of states at the Fermi level is 5.4 states/eV/cell. For the raw formation energy, the calculation gives -1.737 eV/atom.

=====

(9)
A plane-wave DFT calculation with PBE was carried out for an optimized crystal structure of Sr3SnH.

The structure belongs to space group P2_1/m (No. 11); the cell edges are 5.6855, 7.5388 and 8.6268 Å and the angles 90.00°, 109.19° and 90.00°. The inequivalent atoms are Sr at (0.0684, 0.2500, 0.1124), Sr at (0.3260, 0.0076, 0.6538), Sn at (0.1469, 0.7500, 0.2918) and H at (0.4424, 0.7500, 0.8305).

Its density of states at the Fermi level is 5.1 states/eV/cell. Its electronic total energy is -2.89 eV/atom.

=====

(10)
A plane-wave DFT calculation with PBE was carried out for an optimized crystal structure of BeCdCl2.

The structure belongs to space group Cmmm (No. 65); the cell edges are 3.0396, 6.8323 and 10.6235 Å and the angles 90.00°, 90.00° and 90.00°. The inequivalent atoms are Be at (0.0000, 0.0000, 0.0000), Cd at (0.0000, 0.0000, 0.5000) and Cl at (0.0000, 0.5000, 0.1369).

Its density of states at the Fermi level is 0.8 states/eV/cell. For the raw formation energy, the calculation gives -0.663 eV/atom.

=====

(11)
A plane-wave DFT calculation with PBE was carried out for an optimized crystal structure of CaCdO3.

The structure belongs to space group Pm-3m (No. 221); the cell edges are 4.0881, 4.0881 and 4.0881 Å and the angles 90.00°, 90.00° and 90.00°. The inequivalent atoms are Ca at (0.0000, 0.0000, 0.0000), Cd at (0.5000, 0.5000, 0.5000) and O at (0.0000, 0.5000, 0.5000).

Its density of states at the Fermi level is 2.6 states/eV/cell. For the raw formation energy, the calculation gives -1.021 eV/atom.

=====

(12)
A plane-wave DFT calculation with PBE was carried out for an optimized crystal structure of Pm8Tm2Sc.

The structure belongs to space group Immm (No. 71); the cell edges are 5.6643, 7.9475 and 16.1951 Å and the angles 90.00°, 90.00° and 90.00°. The inequivalent atoms are Pm at (0.0000, 0.0000, 0.1687), Pm at (0.0000, 0.2085, 0.3684), Pm at (0.0000, 0.2818, 0.0000), Tm at (0.0000, 0.5000, 0.1994) and Sc at (0.0000, 0.5000, 0.5000).

As for the formation energy: 2.61 kcal/mol of atoms. Its density of states at the Fermi level is 33.2 states/eV/cell.